PBE AcGaCu2, optimized geometry; energy relative to the elements = -111.3 meV/atom; D(E_F) = 0.840 states/eV per atom; space-group type = No. 225; size of the total moment = 0.00 μB per formula unit
1.0
4.893 0.000 0.000
2.446 4.237 0.000
2.446 1.412 3.995
Ga Ac Cu
1 1 2
Cartesian
4.893 2.825 1.997
0.000 0.000 0.000
7.339 4.237 2.996
2.446 1.412 0.999

---

PBE Ac2Ga4Cu, optimized geometry; energy relative to the elements = -244.1 meV/atom; D(E_F) = 1.333 states/eV per atom; space-group type = No. 123; size of the total moment = 0.00 μB per formula unit
1.0
5.002 0.000 0.000
0.000 6.073 0.000
0.000 0.000 6.073
Ga Cu Ac
4 1 2
Cartesian
0.000 1.738 4.335
0.000 4.335 1.738
0.000 1.738 1.738
0.000 4.335 4.335
0.000 0.000 0.000
2.501 3.037 0.000
2.501 0.000 3.037